Computed, not measured: Mg6CdAg5 after structural relaxation at the PBE-GGA level of DFT.

a = 8.154 Å, b = 8.154 Å, c = 8.154 Å
α = 146.50°, β = 129.98°, γ = 61.55°
Fractional coordinates of all 12 atoms:
1 Mg 0.074 0.330 0.744
2 Mg 0.238 0.000 0.238
3 Mg 0.414 0.670 0.744
4 Mg 0.586 0.330 0.256
5 Mg 0.762 0.000 0.762
6 Mg 0.926 0.670 0.256
7 Cd 0.500 0.500 0.000
8 Ag 0.000 0.500 0.500
9 Ag 0.167 0.167 0.000
10 Ag 0.338 0.838 0.500
11 Ag 0.662 0.162 0.500
12 Ag 0.833 0.833 0.000

Computed properties:
Magnetization: 0.000 μB/f.u.
DOS(E_F): 0.258 states/eV per atom
SG: Immm (71)
E_tot: -2.28 eV per atom

---

Computed, not measured: Mg2CdAg4 after structural relaxation at the PBE-GGA level of DFT.

a = 5.130 Å, b = 5.130 Å, c = 13.897 Å
α = 90.00°, β = 90.00°, γ = 90.00°
Fractional coordinates of all 14 atoms:
1 Mg 0.000 0.000 0.110
2 Mg 0.000 0.000 0.890
3 Mg 0.500 0.500 0.390
4 Mg 0.500 0.500 0.610
5 Cd 0.000 0.000 0.500
6 Cd 0.500 0.500 0.000
7 Ag 0.000 0.000 0.302
8 Ag 0.000 0.000 0.698
9 Ag 0.000 0.500 0.000
10 Ag 0.000 0.500 0.500
11 Ag 0.500 0.000 0.000
12 Ag 0.500 0.000 0.500
13 Ag 0.500 0.500 0.198
14 Ag 0.500 0.500 0.802

Computed properties:
Energy relative to the lowest polymorph listed for this composition: 419 meV/atom
Magnetization: 0.000 μB/f.u.
DOS(E_F): 0.412 states/eV per atom
SG: I4/mmm (139)

---

Computed, not measured: Mg2Cd2Ag after structural relaxation at the PBE-GGA level of DFT.

a = 4.582 Å, b = 14.624 Å, c = 3.119 Å
α = 90.00°, β = 90.00°, γ = 90.00°
Fractional coordinates of all 10 atoms:
1 Mg 0.000 0.103 0.000
2 Mg 0.000 0.897 0.000
3 Mg 0.500 0.397 0.000
4 Mg 0.500 0.603 0.000
5 Cd 0.000 0.307 0.500
6 Cd 0.000 0.693 0.500
7 Cd 0.500 0.193 0.500
8 Cd 0.500 0.807 0.500
9 Ag 0.000 0.500 0.500
10 Ag 0.500 0.000 0.500

Computed properties:
Energy relative to the lowest polymorph listed for this composition: 0 meV/atom
Magnetization: 0.000 μB/f.u.
DOS(E_F): 0.343 states/eV per atom
SG: Cmmm (65)

---

Computed, not measured: Mg9Cd2Ag after structural relaxation at the PBE-GGA level of DFT.

a = 4.330 Å, b = 4.330 Å, c = 13.738 Å
α = 90.00°, β = 90.00°, γ = 90.00°
Fractional coordinates of all 12 atoms:
1 Mg 0.000 0.000 0.000
2 Mg 0.000 0.000 0.330
3 Mg 0.000 0.000 0.670
4 Mg 0.000 0.500 0.160
5 Mg 0.000 0.500 0.500
6 Mg 0.000 0.500 0.840
7 Mg 0.500 0.000 0.160
8 Mg 0.500 0.000 0.500
9 Mg 0.500 0.000 0.840
10 Cd 0.500 0.500 0.331
11 Cd 0.500 0.500 0.669
12 Ag 0.500 0.500 0.000

Computed properties:
Magnetization: 0.000 μB/f.u.
DOS(E_F): 0.351 states/eV per atom
SG: P4/mmm (123)
E_tot: -1.66 eV per atom

---

Computed, not measured: MgCd6Ag after structural relaxation at the PBE-GGA level of DFT.

a = 6.303 Å, b = 6.303 Å, c = 4.291 Å
α = 90.00°, β = 90.00°, γ = 90.00°
Fractional coordinates of all 8 atoms:
1 Mg 0.000 0.000 0.000
2 Cd 0.000 0.500 0.000
3 Cd 0.252 0.252 0.500
4 Cd 0.252 0.748 0.500
5 Cd 0.500 0.000 0.000
6 Cd 0.748 0.252 0.500
7 Cd 0.748 0.748 0.500
8 Ag 0.500 0.500 0.000

Computed properties:
Energy relative to the lowest polymorph listed for this composition: 0 meV/atom
Magnetization: 0.000 μB/f.u.
DOS(E_F): 0.255 states/eV per atom
SG: P4/mmm (123)

---

Computed, not measured: MgCd8Ag3 after structural relaxation at the PBE-GGA level of DFT.

a = 5.274 Å, b = 6.374 Å, c = 7.544 Å
α = 90.00°, β = 103.50°, γ = 90.00°
Fractional coordinates of all 12 atoms:
1 Mg 0.000 0.000 0.000
2 Cd 0.233 0.000 0.670
3 Cd 0.266 0.260 0.334
4 Cd 0.266 0.740 0.334
5 Cd 0.500 0.261 0.000
6 Cd 0.500 0.739 0.000
7 Cd 0.734 0.260 0.666
8 Cd 0.734 0.740 0.666
9 Cd 0.767 0.000 0.330
10 Ag 0.000 0.500 0.000
11 Ag 0.223 0.500 0.666
12 Ag 0.777 0.500 0.334

Computed properties:
Magnetization: 0.000 μB/f.u.
DOS(E_F): 0.213 states/eV per atom
SG: P2/m (10)
E_tot: -1.50 eV per atom